(1)
DFT (PBEsol) results for a relaxed CoTeW2 crystal.

Output
Raw formation energy   629 meV per atom

a b c (Å): 3.319 4.148 4.518
angles (deg): 90.00 90.00 90.00
Space group Pmmm (No. 47)
Inequivalent atoms, fractional coordinates:
1 Co 0.000 0.000 0.000 [1 per cell]
2 Te 0.500 0.500 0.000 [1 per cell]
3 W 0.000 0.500 0.500 [1 per cell]
4 W 0.500 0.000 0.500 [1 per cell]

=====

(2)
DFT (PBEsol) results for a relaxed ScAl2Rh crystal.

Output
Energy of formation   -0.686 eV/atom

a b c (Å): 6.252 6.252 6.252
angles (deg): 90.00 90.00 90.00
Space group Fm-3m (No. 225)
Inequivalent atoms, fractional coordinates:
1 Sc 0.000 0.000 0.000 [4 per cell]
2 Al 0.250 0.250 0.250 [8 per cell]
3 Rh 0.000 0.000 0.500 [4 per cell]

=====

(3)
DFT (PBEsol) results for a relaxed Ta4NiTe4 crystal.

Output
Raw formation energy   -341 meV per atom

a b c (Å): 10.611 18.097 4.714
angles (deg): 90.00 90.00 90.00
Space group Pbam (No. 55)
Inequivalent atoms, fractional coordinates:
1 Ta 0.064 0.121 0.000 [4 per cell]
2 Ta 0.103 0.888 0.500 [4 per cell]
3 Ta 0.193 0.060 0.500 [4 per cell]
4 Ta 0.209 0.964 0.000 [4 per cell]
5 Ni 0.000 0.000 0.250 [4 per cell]
6 Te 0.107 0.209 0.500 [4 per cell]
7 Te 0.142 0.436 0.500 [4 per cell]
8 Te 0.169 0.604 0.000 [4 per cell]
9 Te 0.174 0.808 0.000 [4 per cell]

=====

Q: Which V values were calculated for the entries above? A: 62 244 905, in Å³ per cell.